[1]
Below is a relaxed structure of TmMgTiIn, with properties calculated at the PBE-GGA level.

```
data_TmMgTiIn
_symmetry_space_group_name_H-M 'F -4 3 m'
_symmetry_Int_Tables_number 216
_symmetry_space_group_name_Hall 'F -4 2 3'
_cell_length_a 7.0826
_cell_length_b 7.0826
_cell_length_c 7.0826
_cell_angle_alpha 90.00
_cell_angle_beta 90.00
_cell_angle_gamma 90.00
loop_
_atom_site_label
_atom_site_fract_x
_atom_site_fract_y
_atom_site_fract_z
_atom_site_occupancy
Tm1 0.0000 0.0000 0.0000 1
Mg1 0.2500 0.2500 0.7500 1
Ti1 0.0000 0.0000 0.5000 1
In1 0.2500 0.2500 0.2500 1
```

## Properties
As for the magnetization: 0.99 μB/f.u. The calculation puts the raw total energy at -4.237 eV/atom.

***

[2]
Below is a relaxed structure of MgTiZnIn, with properties calculated at the PBE-GGA level.

```
data_MgTiZnIn
_symmetry_space_group_name_H-M 'P m m m'
_symmetry_Int_Tables_number 47
_symmetry_space_group_name_Hall '-P 2 2'
_cell_length_a 4.0983
_cell_length_b 4.1827
_cell_length_c 4.2767
_cell_angle_alpha 90.00
_cell_angle_beta 90.00
_cell_angle_gamma 90.00
loop_
_atom_site_label
_atom_site_fract_x
_atom_site_fract_y
_atom_site_fract_z
_atom_site_occupancy
Mg1 0.0000 0.0000 0.0000 1
Ti1 0.0000 0.5000 0.5000 1
Zn1 0.5000 0.5000 0.0000 1
In1 0.5000 0.0000 0.5000 1
```

## Properties
As for the magnetization: 0.00 μB/f.u. The calculation puts the raw total energy at -3.505 eV/atom.